An optimized crystal structure of Ce12CoHg6, computed with PBE.

Cell lengths 7.8649, 7.8649, 7.8649 Å; angles 89.56, 89.56, 89.56 degrees
Last column: nearest neighbours and their distance in Å.
Positions (direct):
Ce 0.0091 0.2733 0.9130  2 Ce 2.73
Ce 0.0870 0.9909 0.7267  2 Ce 2.73
Ce 0.1527 0.3573 0.4320  2 Ce 2.78, 1 Co 3.01
Ce 0.2733 0.9130 0.0091  2 Ce 2.73
Ce 0.3573 0.4320 0.1527  2 Ce 2.78, 1 Co 3.01
Ce 0.4320 0.1527 0.3573  2 Ce 2.78, 1 Co 3.01
Ce 0.5680 0.8473 0.6427  2 Ce 2.78, 1 Co 3.01
Ce 0.6427 0.5680 0.8473  2 Ce 2.78, 1 Co 3.01
Ce 0.7267 0.0870 0.9909  2 Ce 2.73
Ce 0.8473 0.6427 0.5680  2 Ce 2.78, 1 Co 3.01
Ce 0.9130 0.0091 0.2733  2 Ce 2.73
Ce 0.9909 0.7267 0.0870  2 Ce 2.73
Co 0.5000 0.5000 0.5000  6 Ce 3.01, 6 Hg 3.02
Hg 0.2339 0.5919 0.7635  1 Co 3.02, 2 Hg 3.10, 6 Ce 3.21-3.35
Hg 0.2365 0.7661 0.4081  1 Co 3.02, 2 Hg 3.10, 6 Ce 3.21-3.35
Hg 0.4081 0.2365 0.7661  1 Co 3.02, 2 Hg 3.10, 6 Ce 3.21-3.35
Hg 0.5919 0.7635 0.2339  1 Co 3.02, 2 Hg 3.10, 6 Ce 3.21-3.35
Hg 0.7635 0.2339 0.5919  1 Co 3.02, 2 Hg 3.10, 6 Ce 3.21-3.35
Hg 0.7661 0.4081 0.2365  1 Co 3.02, 2 Hg 3.10, 6 Ce 3.21-3.35

## Properties
ΔE_f (meV per atom): -96
Total moment (μB/f.u.): 2.5
SG: R-3

***

An optimized crystal structure of Ce2CoHg, computed with PBE.

Cell lengths 3.5458, 3.5458, 7.1971 Å; angles 90.00, 90.00, 90.00 degrees
Last column: nearest neighbours and their distance in Å.
Positions (direct):
Ce 0.0000 0.0000 0.1950  1 Ce 2.81, 4 Co 2.87
Ce 0.0000 0.0000 0.8050  1 Ce 2.81, 4 Co 2.87
Co 0.5000 0.5000 0.0000  8 Ce 2.87
Hg 0.5000 0.5000 0.5000  8 Ce 3.33, 4 Hg 3.55, 2 Co 3.60

## Properties
ΔE_f (meV per atom): -217
Total moment (μB/f.u.): 0.4
SG: P4/mmm

***

An optimized crystal structure of Ce4Co2Hg3, computed with PBE.

Cell lengths 8.7939, 8.7939, 6.4110 Å; angles 90.30, 90.30, 59.53 degrees
Last column: nearest neighbours and their distance in Å.
Positions (direct):
Ce 0.1411 0.6832 0.6094  1 Co 2.68
Ce 0.2134 0.3469 0.0918  1 Co 2.28
Ce 0.3168 0.8589 0.8906  1 Co 2.68
Ce 0.3469 0.2134 0.5918  1 Co 2.28
Ce 0.6531 0.7866 0.4082  1 Co 2.28
Ce 0.6832 0.1411 0.1094  1 Co 2.68
Ce 0.7866 0.6531 0.9082  1 Co 2.28
Ce 0.8589 0.3168 0.3906  1 Co 2.68
Co 0.0110 0.4726 0.6896  1 Ce 2.28, 1 Co 2.47
Co 0.4726 0.0110 0.1896  1 Ce 2.28, 1 Co 2.47
Co 0.5274 0.9890 0.8104  1 Ce 2.28, 1 Co 2.47
Co 0.9890 0.5274 0.3104  1 Ce 2.28, 1 Co 2.47
Hg 0.0416 0.7815 0.1215  1 Co 2.79
Hg 0.2185 0.9584 0.3785  1 Co 2.79
Hg 0.4505 0.5495 0.2500  4 Hg 3.21-3.32, 6 Ce 3.23-3.50
Hg 0.5495 0.4505 0.7500  4 Hg 3.21-3.32, 6 Ce 3.23-3.50
Hg 0.7815 0.0416 0.6215  1 Co 2.79
Hg 0.9584 0.2185 0.8785  1 Co 2.79

## Properties
ΔE_f (meV per atom): -258
Total moment (μB/f.u.): 1.5
SG: C2/c

***

| no. | uncorrected energy (eV/atom) |
| --- | --- |
| 1 | -4.313 |
| 2 | -5.035 |
| 3 | -4.575 |